Material: Cs2In2W
Method: DFT, PBE-GGA
State: relaxed

Summary:
Formation energy from the elements in eV/atom: 0.83
Symmetry: P4/mbm (127)
Spin magnetization in μB per cell: 4.4
Relative energy among the computed polymorphs in meV/atom: 0.0
DFT total energy in eV/atom: -3.195

```
data_Cs2In2W
_chemical_formula_sum 'Cs4 In4 W2'
_cell_length_a 7.737
_cell_length_b 7.737
_cell_length_c 6.752
_cell_angle_alpha 90.00
_cell_angle_beta 90.00
_cell_angle_gamma 90.00
_symmetry_space_group_name_H-M 'P 1'
_symmetry_Int_Tables_number 1
_symmetry_space_group_name_Hall 'P 1'
loop_
_atom_site_label
_atom_site_type_symbol
_atom_site_fract_x
_atom_site_fract_y
_atom_site_fract_z
_atom_site_occupancy
Cs1 Cs 0.168 0.668 0.500 1
Cs2 Cs 0.668 0.832 0.500 1
Cs3 Cs 0.832 0.332 0.500 1
Cs4 Cs 0.332 0.168 0.500 1
W1 W 0.000 0.000 0.000 1
W2 W 0.500 0.500 0.000 1
In1 In 0.294 0.794 0.000 1
In2 In 0.794 0.706 0.000 1
In3 In 0.706 0.206 0.000 1
In4 In 0.206 0.294 0.000 1
```

Material: LiTaGeRuI
Method: DFT, PBE-GGA
State: relaxed

Summary:
Energy relative to the elements, uncorrected in eV/atom: -0.049
Symmetry: Cm (8)
Spin magnetization in μB per cell: 0.0
Relative energy among the computed polymorphs in meV/atom: 166.2
DFT total energy in eV/atom: -5.891

```
data_LiTaGeRuI
_chemical_formula_sum 'Li2 Ta2 Ge2 Ru2 I2'
_cell_length_a 7.924
_cell_length_b 3.537
_cell_length_c 8.298
_cell_angle_alpha 90.00
_cell_angle_beta 102.49
_cell_angle_gamma 90.00
_symmetry_space_group_name_H-M 'P 1'
_symmetry_Int_Tables_number 1
_symmetry_space_group_name_Hall 'P 1'
loop_
_atom_site_label
_atom_site_type_symbol
_atom_site_fract_x
_atom_site_fract_y
_atom_site_fract_z
_atom_site_occupancy
Li1 Li 0.768 0.000 0.260 1
Li2 Li 0.768 0.500 0.760 1
Ta1 Ta 0.415 0.000 0.759 1
Ta2 Ta 0.415 0.500 0.259 1
Ge1 Ge 0.551 0.000 0.506 1
Ge2 Ge 0.551 0.500 0.006 1
Ru1 Ru 0.309 0.000 0.043 1
Ru2 Ru 0.309 0.500 0.543 1
I1 I 0.968 0.000 0.002 1
I2 I 0.968 0.500 0.502 1
```

Material: HfTe3As
Method: DFT, PBE-GGA
State: relaxed

Summary:
Energy relative to the elements, uncorrected in eV/atom: 0.280
Symmetry: Pm-3m (221)
Spin magnetization in μB per cell: 1.7
Relative energy among the computed polymorphs in meV/atom: 0.0
DFT total energy in eV/atom: -4.525

```
data_HfTe3As
_chemical_formula_sum 'Hf1 Te3 As1'
_cell_length_a 5.550
_cell_length_b 5.550
_cell_length_c 5.550
_cell_angle_alpha 90.00
_cell_angle_beta 90.00
_cell_angle_gamma 90.00
_symmetry_space_group_name_H-M 'P 1'
_symmetry_Int_Tables_number 1
_symmetry_space_group_name_Hall 'P 1'
loop_
_atom_site_label
_atom_site_type_symbol
_atom_site_fract_x
_atom_site_fract_y
_atom_site_fract_z
_atom_site_occupancy
As1 As 0.500 0.500 0.500 1
Te1 Te 0.000 0.500 0.000 1
Te2 Te 0.000 0.000 0.500 1
Te3 Te 0.500 0.000 0.000 1
Hf1 Hf 0.000 0.000 0.000 1
```

Material: BaScCr2
Method: DFT, PBE-GGA
State: relaxed

Summary:
Formation energy from the elements in eV/atom: 0.98
Symmetry: F-43m (216)
Spin magnetization in μB per cell: 9.2
Relative energy among the computed polymorphs in meV/atom: 455.1
DFT total energy in eV/atom: -5.891

```
data_BaScCr2
_chemical_formula_sum 'Ba1 Sc1 Cr2'
_cell_length_a 5.247
_cell_length_b 5.247
_cell_length_c 5.247
_cell_angle_alpha 60.00
_cell_angle_beta 60.00
_cell_angle_gamma 60.00
_symmetry_space_group_name_H-M 'P 1'
_symmetry_Int_Tables_number 1
_symmetry_space_group_name_Hall 'P 1'
loop_
_atom_site_label
_atom_site_type_symbol
_atom_site_fract_x
_atom_site_fract_y
_atom_site_fract_z
_atom_site_occupancy
Ba1 Ba 0.500 0.500 0.500 1
Cr1 Cr 0.000 0.000 0.000 1
Cr2 Cr 0.250 0.250 0.250 1
Sc1 Sc 0.750 0.750 0.750 1
```

Material: Ho2Al2Ge2C
Method: DFT, PBE-GGA
State: relaxed

Summary:
Formation energy from the elements in eV/atom: -0.51
Symmetry: I4/mmm (139)
Spin magnetization in μB per cell: 0.0
DFT total energy in eV/atom: -5.522

```
data_Ho2Al2Ge2C
_chemical_formula_sum 'Ho2 Al2 Ge2 C1'
_cell_length_a 4.135
_cell_length_b 4.135
_cell_length_c 7.963
_cell_angle_alpha 105.05
_cell_angle_beta 105.05
_cell_angle_gamma 90.00
_symmetry_space_group_name_H-M 'P 1'
_symmetry_Int_Tables_number 1
_symmetry_space_group_name_Hall 'P 1'
loop_
_atom_site_label
_atom_site_type_symbol
_atom_site_fract_x
_atom_site_fract_y
_atom_site_fract_z
_atom_site_occupancy
Ho1 Ho 0.161 0.161 0.321 1
Ho2 Ho 0.839 0.839 0.679 1
Al1 Al 0.000 0.500 0.000 1
Al2 Al 0.500 0.000 0.000 1
Ge1 Ge 0.367 0.367 0.735 1
Ge2 Ge 0.633 0.633 0.265 1
C1 C 0.000 0.000 0.000 1
```

Material: BeAs2Ir
Method: DFT, PBE-GGA
State: relaxed

Summary:
Formation energy from the elements in eV/atom: -0.02
Symmetry: Immm (71)
Spin magnetization in μB per cell: 0.0
DFT total energy in eV/atom: -5.491

```
data_BeAs2Ir
_chemical_formula_sum 'Be1 As2 Ir1'
_cell_length_a 6.337
_cell_length_b 6.337
_cell_length_c 6.337
_cell_angle_alpha 153.21
_cell_angle_beta 145.28
_cell_angle_gamma 44.38
_symmetry_space_group_name_H-M 'P 1'
_symmetry_Int_Tables_number 1
_symmetry_space_group_name_Hall 'P 1'
loop_
_atom_site_label
_atom_site_type_symbol
_atom_site_fract_x
_atom_site_fract_y
_atom_site_fract_z
_atom_site_occupancy
Be1 Be 0.250 0.750 0.500 1
As1 As 0.928 0.928 0.000 1
As2 As 0.572 0.572 0.000 1
Ir1 Ir 0.750 0.250 0.500 1
```

Material: La6RuPt2N
Method: DFT, PBE-GGA
State: relaxed

Summary:
Energy relative to the elements, uncorrected in eV/atom: -0.812
Symmetry: P2_1/c (14)
Spin magnetization in μB per cell: 0.0
DFT total energy in eV/atom: -6.737

```
data_La6RuPt2N
_chemical_formula_sum 'La12 Ru2 Pt4 N2'
_cell_length_a 6.861
_cell_length_b 7.586
_cell_length_c 10.356
_cell_angle_alpha 90.00
_cell_angle_beta 90.30
_cell_angle_gamma 90.00
_symmetry_space_group_name_H-M 'P 1'
_symmetry_Int_Tables_number 1
_symmetry_space_group_name_Hall 'P 1'
loop_
_atom_site_label
_atom_site_type_symbol
_atom_site_fract_x
_atom_site_fract_y
_atom_site_fract_z
_atom_site_occupancy
La1 La 0.307 0.673 0.063 1
La2 La 0.807 0.827 0.563 1
La3 La 0.693 0.327 0.937 1
La4 La 0.193 0.173 0.437 1
La5 La 0.334 0.691 0.436 1
La6 La 0.834 0.809 0.936 1
La7 La 0.666 0.309 0.564 1
La8 La 0.166 0.191 0.064 1
La9 La 0.872 0.540 0.240 1
La10 La 0.372 0.960 0.740 1
La11 La 0.128 0.460 0.760 1
La12 La 0.628 0.040 0.260 1
Ru1 Ru 0.500 0.000 0.000 1
Ru2 Ru 0.000 0.500 0.500 1
Pt1 Pt 0.047 0.897 0.247 1
Pt2 Pt 0.547 0.603 0.747 1
Pt3 Pt 0.953 0.103 0.753 1
Pt4 Pt 0.453 0.397 0.253 1
N1 N 0.500 0.000 0.500 1
N2 N 0.000 0.500 0.000 1
```

Material: AlCd4Si
Method: DFT, PBE-GGA
State: relaxed

Summary:
Energy relative to the elements, uncorrected in eV/atom: 0.431
Symmetry: F-43m (216)
Spin magnetization in μB per cell: 0.0
DFT total energy in eV/atom: -1.707

```
data_AlCd4Si
_chemical_formula_sum 'Al1 Cd4 Si1'
_cell_length_a 5.763
_cell_length_b 5.763
_cell_length_c 5.763
_cell_angle_alpha 60.00
_cell_angle_beta 60.00
_cell_angle_gamma 60.00
_symmetry_space_group_name_H-M 'P 1'
_symmetry_Int_Tables_number 1
_symmetry_space_group_name_Hall 'P 1'
loop_
_atom_site_label
_atom_site_type_symbol
_atom_site_fract_x
_atom_site_fract_y
_atom_site_fract_z
_atom_site_occupancy
Al1 Al 0.000 0.000 0.000 1
Cd1 Cd 0.874 0.375 0.375 1
Cd2 Cd 0.375 0.375 0.874 1
Cd3 Cd 0.375 0.874 0.375 1
Cd4 Cd 0.375 0.375 0.375 1
Si1 Si 0.750 0.750 0.750 1
```

Material: MgBeCd
Method: DFT, PBE-GGA
State: relaxed

Summary:
Formation energy from the elements in eV/atom: 0.27
Symmetry: I4mm (107)
Spin magnetization in μB per cell: 0.0
Relative energy among the computed polymorphs in meV/atom: 118.2
DFT total energy in eV/atom: -1.808

```
data_MgBeCd
_chemical_formula_sum 'Mg1 Be1 Cd1'
_cell_length_a 5.699
_cell_length_b 5.700
_cell_length_c 3.109
_cell_angle_alpha 74.16
_cell_angle_beta 74.16
_cell_angle_gamma 31.65
_symmetry_space_group_name_H-M 'P 1'
_symmetry_Int_Tables_number 1
_symmetry_space_group_name_Hall 'P 1'
loop_
_atom_site_label
_atom_site_type_symbol
_atom_site_fract_x
_atom_site_fract_y
_atom_site_fract_z
_atom_site_occupancy
Be1 Be 0.996 0.995 0.004 1
Mg1 Mg 0.649 0.649 0.351 1
Cd1 Cd 0.355 0.355 0.645 1
```

Material: VAg2RuW
Method: DFT, PBE-GGA
State: relaxed

Summary:
Formation energy from the elements in eV/atom: 1.86
Symmetry: P4/mmm (123)
Spin magnetization in μB per cell: 2.0
Relative energy among the computed polymorphs in meV/atom: 0.0
DFT total energy in eV/atom: -5.553

```
data_VAg2RuW
_chemical_formula_sum 'V1 Ag2 Ru1 W1'
_cell_length_a 4.781
_cell_length_b 4.366
_cell_length_c 4.781
_cell_angle_alpha 90.00
_cell_angle_beta 90.00
_cell_angle_gamma 90.00
_symmetry_space_group_name_H-M 'P 1'
_symmetry_Int_Tables_number 1
_symmetry_space_group_name_Hall 'P 1'
loop_
_atom_site_label
_atom_site_type_symbol
_atom_site_fract_x
_atom_site_fract_y
_atom_site_fract_z
_atom_site_occupancy
Ru1 Ru 0.500 0.500 0.500 1
Ag1 Ag 0.000 0.000 0.500 1
Ag2 Ag 0.500 0.000 0.000 1
W1 W 0.000 0.500 0.000 1
V1 V 0.000 0.000 0.000 1
```

Material: NiRuPb3
Method: DFT, PBE-GGA
State: relaxed

Summary:
Formation energy from the elements in eV/atom: 0.85
Symmetry: Pm-3m (221)
Spin magnetization in μB per cell: 1.9
Relative energy among the computed polymorphs in meV/atom: 115.2
DFT total energy in eV/atom: -4.385

```
data_NiRuPb3
_chemical_formula_sum 'Ni1 Ru1 Pb3'
_cell_length_a 5.044
_cell_length_b 5.044
_cell_length_c 5.044
_cell_angle_alpha 90.00
_cell_angle_beta 90.00
_cell_angle_gamma 90.00
_symmetry_space_group_name_H-M 'P 1'
_symmetry_Int_Tables_number 1
_symmetry_space_group_name_Hall 'P 1'
loop_
_atom_site_label
_atom_site_type_symbol
_atom_site_fract_x
_atom_site_fract_y
_atom_site_fract_z
_atom_site_occupancy
Pb1 Pb 0.000 0.500 0.000 1
Pb2 Pb 0.000 0.000 0.500 1
Pb3 Pb 0.500 0.000 0.000 1
Ru1 Ru 0.500 0.500 0.500 1
Ni1 Ni 0.000 0.000 0.000 1
```

Material: Si4PRh6
Method: DFT, PBE-GGA
State: relaxed

Summary:
Energy relative to the elements, uncorrected in eV/atom: -0.589
Symmetry: P-6m2 (187)
Spin magnetization in μB per cell: 0.0
DFT total energy in eV/atom: -7.063

```
data_Si4PRh6
_chemical_formula_sum 'Si4 P1 Rh6'
_cell_length_a 7.250
_cell_length_b 7.250
_cell_length_c 3.428
_cell_angle_alpha 90.00
_cell_angle_beta 90.00
_cell_angle_gamma 120.00
_symmetry_space_group_name_H-M 'P 1'
_symmetry_Int_Tables_number 1
_symmetry_space_group_name_Hall 'P 1'
loop_
_atom_site_label
_atom_site_type_symbol
_atom_site_fract_x
_atom_site_fract_y
_atom_site_fract_z
_atom_site_occupancy
P1 P 0.000 0.000 0.000 1
Rh1 Rh 0.180 0.820 0.500 1
Rh2 Rh 0.180 0.360 0.500 1
Rh3 Rh 0.640 0.820 0.500 1
Rh4 Rh 0.534 0.466 0.000 1
Rh5 Rh 0.534 0.067 0.000 1
Rh6 Rh 0.933 0.466 0.000 1
Si1 Si 0.803 0.197 0.500 1
Si2 Si 0.803 0.605 0.500 1
Si3 Si 0.395 0.197 0.500 1
Si4 Si 0.333 0.667 0.000 1
```

> Which value of DFT total energy does entry 7 give?

-6.737 eV/atom

Please write out number 12 again, unchanged.
Material: Si4PRh6
Method: DFT, PBE-GGA
State: relaxed

Summary:
Energy relative to the elements, uncorrected in eV/atom: -0.589
Symmetry: P-6m2 (187)
Spin magnetization in μB per cell: 0.0
DFT total energy in eV/atom: -7.063

```
data_Si4PRh6
_chemical_formula_sum 'Si4 P1 Rh6'
_cell_length_a 7.250
_cell_length_b 7.250
_cell_length_c 3.428
_cell_angle_alpha 90.00
_cell_angle_beta 90.00
_cell_angle_gamma 120.00
_symmetry_space_group_name_H-M 'P 1'
_symmetry_Int_Tables_number 1
_symmetry_space_group_name_Hall 'P 1'
loop_
_atom_site_label
_atom_site_type_symbol
_atom_site_fract_x
_atom_site_fract_y
_atom_site_fract_z
_atom_site_occupancy
P1 P 0.000 0.000 0.000 1
Rh1 Rh 0.180 0.820 0.500 1
Rh2 Rh 0.180 0.360 0.500 1
Rh3 Rh 0.640 0.820 0.500 1
Rh4 Rh 0.534 0.466 0.000 1
Rh5 Rh 0.534 0.067 0.000 1
Rh6 Rh 0.933 0.466 0.000 1
Si1 Si 0.803 0.197 0.500 1
Si2 Si 0.803 0.605 0.500 1
Si3 Si 0.395 0.197 0.500 1
Si4 Si 0.333 0.667 0.000 1
```

Please write out number 3 again, unchanged.
Material: HfTe3As
Method: DFT, PBE-GGA
State: relaxed

Summary:
Energy relative to the elements, uncorrected in eV/atom: 0.280
Symmetry: Pm-3m (221)
Spin magnetization in μB per cell: 1.7
Relative energy among the computed polymorphs in meV/atom: 0.0
DFT total energy in eV/atom: -4.525

```
data_HfTe3As
_chemical_formula_sum 'Hf1 Te3 As1'
_cell_length_a 5.550
_cell_length_b 5.550
_cell_length_c 5.550
_cell_angle_alpha 90.00
_cell_angle_beta 90.00
_cell_angle_gamma 90.00
_symmetry_space_group_name_H-M 'P 1'
_symmetry_Int_Tables_number 1
_symmetry_space_group_name_Hall 'P 1'
loop_
_atom_site_label
_atom_site_type_symbol
_atom_site_fract_x
_atom_site_fract_y
_atom_site_fract_z
_atom_site_occupancy
As1 As 0.500 0.500 0.500 1
Te1 Te 0.000 0.500 0.000 1
Te2 Te 0.000 0.000 0.500 1
Te3 Te 0.500 0.000 0.000 1
Hf1 Hf 0.000 0.000 0.000 1
```